Crystalline Er4Tl3Au at its relaxed geometry. Source: Alexandria, functional PBE.

## Properties
The value obtained for the total magnetic moment is 0.0 μB per formula unit. As for the energy: -31.98 eV per formula unit. For the polymorph energy (0 for the lowest one), the calculation gives 41 meV per atom. As for the space group: Pmm2 (25). The formation energy comes out at -0.42 eV/atom.

a = 3.820 Å, b = 4.808 Å, c = 11.602 Å
α = 90.00°, β = 90.00°, γ = 90.00°
Element x y z (fractional)
Er 0.000 0.000 0.000
Er 0.000 0.500 0.268
Er 0.500 0.000 0.467
Er 0.500 0.500 0.777
Tl 0.000 0.000 0.721
Tl 0.000 0.500 0.538
Tl 0.500 0.500 0.041
Au 0.500 0.000 0.216



Crystalline CeDyHf at its relaxed geometry. Source: Alexandria, functional PBE.

## Properties
The value obtained for the total magnetic moment is 0.0 μB per formula unit. As for the energy: -20.07 eV per formula unit. For the polymorph energy (0 for the lowest one), the calculation gives 0 meV per atom. As for the space group: P3m1 (156). The formation energy comes out at 0.14 eV/atom.

a = 3.339 Å, b = 3.339 Å, c = 8.286 Å
α = 90.00°, β = 90.00°, γ = 120.00°
Element x y z (fractional)
Ce 0.000 0.000 0.000
Dy 0.333 0.667 0.643
Hf 0.667 0.333 0.317



Crystalline LaScUO6 at its relaxed geometry. Source: Alexandria, functional PBE.

## Properties
The value obtained for the total magnetic moment is 0.0 μB per formula unit. As for the energy: -82.75 eV per formula unit. As for the space group: P-31c (163). The uncorrected formation energy is -3.384 eV/atom.

a = 5.616 Å, b = 5.616 Å, c = 10.116 Å
α = 90.00°, β = 90.00°, γ = 120.00°
Element x y z (fractional)
La 0.000 0.000 0.000
La 0.000 0.000 0.500
Sc 0.333 0.667 0.250
Sc 0.667 0.333 0.750
U 0.333 0.667 0.750
U 0.667 0.333 0.250
O 0.005 0.362 0.641
O 0.005 0.643 0.859
O 0.357 0.362 0.859
O 0.357 0.995 0.641
O 0.362 0.005 0.141
O 0.362 0.357 0.359
O 0.638 0.643 0.641
O 0.638 0.995 0.859
O 0.643 0.005 0.359
O 0.643 0.638 0.141
O 0.995 0.357 0.141
O 0.995 0.638 0.359



Crystalline LaPrCuN2 at its relaxed geometry. Source: Alexandria, functional PBE.

## Properties
The value obtained for the total magnetic moment is 0.0 μB per formula unit. As for the energy: -33.91 eV per formula unit. As for the space group: Pccm (49). The uncorrected formation energy is -0.692 eV/atom.

a = 5.191 Å, b = 5.423 Å, c = 6.886 Å
α = 90.00°, β = 90.00°, γ = 90.00°
Element x y z (fractional)
La 0.000 0.000 0.250
La 0.000 0.000 0.750
Pr 0.500 0.500 0.250
Pr 0.500 0.500 0.750
Cu 0.000 0.500 0.000
Cu 0.000 0.500 0.500
N 0.251 0.251 0.000
N 0.251 0.749 0.500
N 0.749 0.251 0.500
N 0.749 0.749 0.000



Crystalline Cs6AgHgAu2 at its relaxed geometry. Source: Alexandria, functional PBE.

## Properties
The value obtained for the total magnetic moment is 0.0 μB per formula unit. As for the energy: -16.35 eV per formula unit. As for the space group: P1 (1). The formation energy comes out at -0.15 eV/atom.

a = 9.352 Å, b = 9.386 Å, c = 9.507 Å
α = 90.15°, β = 119.44°, γ = 119.84°
Element x y z (fractional)
Cs 0.000 0.000 0.000
Cs 0.004 0.781 0.493
Cs 0.386 0.680 0.001
Cs 0.390 0.517 0.491
Cs 0.652 0.167 0.492
Cs 0.681 0.295 0.002
Ag 0.144 0.720 0.185
Hg 0.151 0.223 0.693
Au 0.894 0.594 0.811
Au 0.901 0.098 0.319



Crystalline RbGeBr3 at its relaxed geometry. Source: Alexandria, functional PBE.

## Properties
The value obtained for the total magnetic moment is 0.0 μB per formula unit. As for the energy: -15.96 eV per formula unit. As for the space group: P2_1/m (11). The uncorrected formation energy is -1.072 eV/atom.

a = 6.150 Å, b = 7.701 Å, c = 8.796 Å
α = 90.00°, β = 108.96°, γ = 90.00°
Element x y z (fractional)
Rb 0.166 0.250 0.308
Rb 0.834 0.750 0.692
Ge 0.455 0.250 0.878
Ge 0.545 0.750 0.122
Br 0.131 0.750 0.111
Br 0.330 0.003 0.679
Br 0.330 0.497 0.679
Br 0.670 0.503 0.321
Br 0.670 0.997 0.321
Br 0.869 0.250 0.889



> energy of number 2 (CeDyHf)?

-20.07 eV per formula unit



Repeat the third record exactly.
Crystalline LaScUO6 at its relaxed geometry. Source: Alexandria, functional PBE.

## Properties
The value obtained for the total magnetic moment is 0.0 μB per formula unit. As for the energy: -82.75 eV per formula unit. As for the space group: P-31c (163). The uncorrected formation energy is -3.384 eV/atom.

a = 5.616 Å, b = 5.616 Å, c = 10.116 Å
α = 90.00°, β = 90.00°, γ = 120.00°
Element x y z (fractional)
La 0.000 0.000 0.000
La 0.000 0.000 0.500
Sc 0.333 0.667 0.250
Sc 0.667 0.333 0.750
U 0.333 0.667 0.750
U 0.667 0.333 0.250
O 0.005 0.362 0.641
O 0.005 0.643 0.859
O 0.357 0.362 0.859
O 0.357 0.995 0.641
O 0.362 0.005 0.141
O 0.362 0.357 0.359
O 0.638 0.643 0.641
O 0.638 0.995 0.859
O 0.643 0.005 0.359
O 0.643 0.638 0.141
O 0.995 0.357 0.141
O 0.995 0.638 0.359



> Look up the total magnetic moment of the third one.

0.0 μB per formula unit